No. 1
A plane-wave DFT calculation with PBE was carried out for a relaxed structure of Sr2ZrGe3Pt4.

a = 4.3604 Å, b = 4.3604 Å, c = 10.9644 Å
α = 90.00°, β = 90.00°, γ = 90.00°
Space group P-4m2 (No. 115)
Inequivalent atoms, fractional coordinates:
Sr  0.0000  0.5000  0.2356 [2 per cell]
Zr  0.0000  0.0000  0.5000 [1 per cell]
Ge  0.0000  0.5000  0.8765 [2 per cell]
Ge  0.5000  0.5000  0.5000 [1 per cell]
Pt  0.0000  0.0000  0.0000 [1 per cell]
Pt  0.0000  0.5000  0.6460 [2 per cell]
Pt  0.5000  0.5000  0.0000 [1 per cell]

ΔE_f   -0.834 eV per atom


No. 2
A plane-wave DFT calculation with PBE was carried out for a relaxed structure of NiMoSCl2.

a = 4.9215 Å, b = 4.9215 Å, c = 4.5978 Å
α = 90.00°, β = 90.00°, γ = 90.00°
Space group P4/mmm (No. 123)
Inequivalent atoms, fractional coordinates:
Ni  0.0000  0.0000  0.0000 [1 per cell]
Mo  0.5000  0.5000  0.5000 [1 per cell]
S  0.5000  0.5000  0.0000 [1 per cell]
Cl  0.0000  0.5000  0.5000 [2 per cell]

Energy above the most stable polymorph in this dataset   0.0 meV per atom


No. 3
A plane-wave DFT calculation with PBE was carried out for a relaxed structure of ZnInCo2.

a = 3.7722 Å, b = 3.7722 Å, c = 7.9215 Å
α = 90.00°, β = 90.00°, γ = 90.00°
Space group I-4m2 (No. 119)
Inequivalent atoms, fractional coordinates:
Zn  0.0000  0.0000  0.0000 [2 per cell]
In  0.0000  0.5000  0.2500 [2 per cell]
Co  0.0000  0.0000  0.5000 [2 per cell]
Co  0.0000  0.5000  0.7500 [2 per cell]

ΔE_f   0.200 eV per atom


No. 4
A plane-wave DFT calculation with PBE was carried out for a relaxed structure of KCaTa2.

a = 11.6324 Å, b = 2.9794 Å, c = 7.3989 Å
α = 90.00°, β = 91.75°, γ = 90.00°
Space group C2/m (No. 12)
Inequivalent atoms, fractional coordinates:
K  0.0000  0.0000  0.0000 [2 per cell]
Ca  0.0000  0.5000  0.5000 [2 per cell]
Ta  0.2432  0.0000  0.6456 [4 per cell]

ΔE_f   1.047 eV per atom
Energy above the most stable polymorph in this dataset   437.4 meV per atom


No. 5
A plane-wave DFT calculation with PBE was carried out for a relaxed structure of Ca3PmPu2N6.

a = 15.2128 Å, b = 3.5288 Å, c = 7.0287 Å
α = 90.00°, β = 103.11°, γ = 90.00°
Space group C2/m (No. 12)
Inequivalent atoms, fractional coordinates:
Ca  0.0000  0.0000  0.0000 [2 per cell]
Ca  0.1678  0.5000  0.3322 [4 per cell]
Pm  0.0000  0.0000  0.5000 [2 per cell]
Pu  0.1667  0.5000  0.8325 [4 per cell]
N  0.0163  0.5000  0.7558 [4 per cell]
N  0.1667  0.0000  0.6126 [4 per cell]
N  0.1782  0.0000  0.0658 [4 per cell]

E   -8.6413 eV/atom


No. 6
A plane-wave DFT calculation with PBE was carried out for a relaxed structure of NaMgIn3.

a = 5.5166 Å, b = 5.5166 Å, c = 5.5166 Å
α = 90.00°, β = 90.00°, γ = 90.00°
Space group Pm-3m (No. 221)
Inequivalent atoms, fractional coordinates:
Na  0.0000  0.0000  0.0000 [1 per cell]
Mg  0.5000  0.5000  0.5000 [1 per cell]
In  0.0000  0.5000  0.5000 [3 per cell]

ΔE_f   0.212 eV per atom
Energy above the most stable polymorph in this dataset   282.3 meV per atom


No. 7
A plane-wave DFT calculation with PBE was carried out for a relaxed structure of Rb5Pt3.

a = 5.2528 Å, b = 19.7101 Å, c = 11.2218 Å
α = 90.00°, β = 103.52°, γ = 90.00°
Space group Cm (No. 8)
Inequivalent atoms, fractional coordinates:
Rb  0.0000  0.0000  0.0000 [2 per cell]
Rb  0.0219  0.3252  0.0431 [4 per cell]
Rb  0.1385  0.0991  0.2766 [4 per cell]
Rb  0.2585  0.4029  0.5171 [4 per cell]
Rb  0.3420  0.1888  0.6830 [4 per cell]
Rb  0.4013  0.0000  0.8023 [2 per cell]
Pt  0.0872  0.5000  0.1747 [2 per cell]
Pt  0.2600  0.0000  0.5196 [2 per cell]
Pt  0.4252  0.3543  0.8497 [4 per cell]
Pt  0.4419  0.2499  0.3801 [4 per cell]

ΔE_f   0.073 eV per atom
Energy above the most stable polymorph in this dataset   0.0 meV per atom


No. 8
A plane-wave DFT calculation with PBE was carried out for a relaxed structure of Ce3ThAu2.

a = 10.8184 Å, b = 9.5128 Å, c = 6.2530 Å
α = 90.00°, β = 90.00°, γ = 90.00°
Space group Cmcm (No. 63)
Inequivalent atoms, fractional coordinates:
Ce  0.0000  0.0122  0.2500 [4 per cell]
Ce  0.1446  0.2541  0.2500 [8 per cell]
Th  0.0000  0.3843  0.7500 [4 per cell]
Au  0.2399  0.5000  0.0000 [8 per cell]

ΔE_f   -0.294 eV per atom
Energy above the most stable polymorph in this dataset   108.8 meV per atom